Density functional theory data (GGA-PBE) for crystalline CdH10C7S2N4 at its relaxed geometry.

Values from the calculation:
crystal system	monoclinic
symmetry	P2_1/c (14)
DFT total energy	-5.912	eV/atom

```
96
Lattice="-6.9880 -7.3787 3.5332 2.0509 -5.1524 -6.7038 12.4413 -0.3738 4.0935" Properties=species:S:1:pos:R:3 pbc="T T T"
C -4.3859 -5.9639 3.1866
C -2.8005 -5.7088 1.3945
C -3.1158 -6.2551 2.6543
C -1.1196 -8.6401 -0.8718
C 2.9495 -4.3374 -2.7752
C 0.1054 -7.9347 -1.4383
C 0.7399 -4.9090 0.1980
C 0.8991 -8.7021 -2.4837
C 0.8514 -3.9625 1.3826
C -2.1953 -7.0507 3.3818
C 1.9315 -2.8928 1.2899
C 3.8098 -4.9819 -1.8511
C 3.8347 -6.3828 -1.7032
C 4.6641 -4.2284 -1.0242
C 2.8401 -8.6765 1.9472
C 3.6695 -6.5221 2.6262
C 3.6944 -7.9230 2.7742
C 5.5728 -10.0121 -0.3669
C 9.6995 -5.8542 -2.4588
C 6.6528 -8.9424 -0.4595
C 6.6051 -4.2028 3.4067
C 6.7643 -7.9959 0.7251
C 7.3988 -4.9702 2.3613
C 4.5547 -8.5675 3.6982
C 8.6239 -4.2647 1.7948
C 10.6200 -6.6498 -1.7313
C 10.3047 -7.1961 -0.4715
C 11.8901 -6.9410 -2.2635
Cd 0.5868 -2.1284 -1.5557
Cd 0.8959 -11.0900 -0.2190
Cd 6.6083 -1.8149 1.1421
Cd 6.9174 -10.7765 2.4787
H -0.9633 -4.3241 -0.7797
H 0.2102 -4.8836 -1.8004
H 0.8246 -1.1894 1.0040
H -0.2560 -7.0184 -1.9266
H -1.8152 -7.8837 -0.4724
H -1.6497 -9.1708 -1.6733
H -0.1285 -3.4993 1.5792
H 0.2091 -9.1805 -3.1926
H 2.3468 -1.0915 0.4343
H 1.5121 -7.9830 -3.0491
H 0.1997 -5.8109 0.5256
H -1.6808 -10.0748 0.4609
H 1.7444 -5.2204 -0.1209
H 0.7757 -7.6199 -0.6228
H 2.8420 -3.3178 0.8480
H 2.1934 -2.5599 2.3078
H 1.0942 -4.5808 2.2586
H -0.5075 -9.1006 1.0313
H 2.0888 -10.3855 -2.6426
H 2.6049 -9.2934 -1.5144
H 4.8993 -3.6115 2.4374
H 5.4154 -2.5194 3.5656
H 8.0118 -3.8043 -0.1083
H 6.4101 -8.3241 -1.3356
H 5.3108 -10.3450 -1.3848
H 4.6622 -9.5871 0.0750
H 6.7285 -5.2850 1.5458
H 5.7599 -7.6845 1.0439
H 9.1851 -2.8301 0.4622
H 7.3045 -7.0940 0.3975
H 5.9922 -4.9219 3.9721
H 5.1575 -11.8134 0.4888
H 7.2951 -3.7244 4.1156
H 7.6327 -9.4056 -0.6562
H 9.1540 -3.7341 2.5963
H 9.3194 -5.0212 1.3954
H 7.7602 -5.8865 2.8496
H 6.6796 -11.7155 -0.0810
H 7.2941 -8.0213 2.7234
H 8.4676 -8.5808 1.7028
N -3.3987 -10.8894 -3.0747
N -2.5379 -5.2388 0.3510
N 0.0502 -4.3065 -0.9664
N 1.5331 -1.7214 0.4771
N -0.7973 -9.6204 0.1896
N 1.7670 -9.7520 -1.9015
N 3.8491 -7.5487 -1.5652
N 5.3855 -3.5954 -0.3478
N 2.1187 -9.3095 1.2708
N 3.6551 -5.3562 2.4882
N 5.7373 -3.1529 2.8245
N 8.3015 -3.2845 0.7334
N 5.9712 -11.1835 0.4459
N 7.4540 -8.5984 1.8894
N 10.0421 -7.6661 0.5720
N 10.9029 -2.0155 3.9978
S 1.8977 -5.2418 -3.7845
S -4.0267 -9.9874 0.6804
S 4.3277 -0.2622 1.4074
S -0.6412 -7.4081 2.7493
S 8.1454 -5.4968 -1.8263
S 3.1765 -12.6427 -0.4844
S 11.5309 -2.9175 0.2426
S 5.6066 -7.6631 4.7075
```

---

Density functional theory data (GGA-PBE) for crystalline CdH2C4S6N4 at its relaxed geometry.

Values from the calculation:
crystal system	orthorhombic
symmetry	Pbcn (60)
DFT total energy	-5.934	eV/atom

```
68
Lattice="-1.2849 -8.7734 9.3922 -5.0714 -7.3100 -7.5221 6.9508 -2.9577 -1.8119" Properties=species:S:1:pos:R:3 pbc="T T T"
C -1.5950 -9.5729 6.9762
C -3.7236 -10.4481 0.2392
C -0.0748 -7.9622 5.8823
C -2.6094 -11.6096 2.1132
C 1.1942 -3.8341 1.0151
C -1.3426 -7.4966 -2.7379
C 1.8733 -3.4356 -1.3263
C -1.0694 -9.8704 -2.1115
C 1.6641 -9.1706 2.1696
C -1.2787 -15.6055 1.3844
C 1.9372 -11.5445 2.7960
C -0.5996 -15.2070 -0.9570
C 3.2040 -7.4314 -2.0551
C 0.6694 -11.0789 -5.8242
C 4.3182 -8.5930 -0.1811
C 2.1896 -9.4681 -6.9181
Cd 0.3940 -6.1370 3.2029
Cd -1.4993 -5.4053 -5.2543
Cd 3.3788 -4.8624 -4.0798
Cd 0.2007 -12.9041 -3.1448
H -2.2304 -10.0834 5.0533
H -4.5556 -12.3011 -0.2465
H 0.9083 -5.2320 -1.7773
H -1.8379 -10.3244 -3.9997
H 2.4325 -8.7167 4.0578
H -0.3137 -13.8090 1.8354
H 5.1502 -6.7400 0.3046
H 2.8250 -8.9576 -4.9952
N -1.6560 -9.4604 5.6402
N -3.9919 -11.7508 0.4184
N -0.8299 -8.5894 5.0036
N -3.3919 -12.4240 1.4349
N 0.8267 -4.8250 0.2286
N -1.6827 -8.3004 -3.7248
N 1.2218 -4.5753 -1.0473
N -1.5137 -9.5948 -3.3476
N 2.1084 -9.4462 3.4057
N -0.6272 -14.4657 1.1054
N 2.2773 -10.7406 3.7829
N -0.2321 -14.2160 -0.1705
N 3.9865 -6.6171 -1.3768
N 1.4246 -10.4517 -4.9455
N 4.5865 -7.2902 -0.3603
N 2.2507 -9.5807 -5.5821
S -1.1525 -1.8663 -1.4087
S -4.2594 -9.4217 -0.9943
S -0.4046 -8.4452 7.5371
S -2.6280 -9.9678 1.4932
S 0.8925 -3.6939 2.7004
S -1.4134 -5.7803 -2.7399
S 1.1364 -6.7914 5.5461
S -1.6290 -12.0150 3.4642
S 2.0653 -2.5708 0.1632
S -0.7827 -8.3582 -1.3151
S 1.0951 -11.6262 6.5606
S -0.8694 -11.3808 -1.3760
S 1.4640 -7.6602 1.4341
S -0.5004 -7.4148 -6.5025
S 1.3773 -10.6829 1.3732
S -1.4707 -16.4702 -0.1051
S 2.2236 -7.0261 -3.4061
S -0.5418 -12.2497 -5.4880
S 2.0081 -13.2608 2.7980
S -0.2979 -15.3472 -2.6423
S 3.2226 -9.0733 -1.4351
S 0.9992 -10.5959 -7.4790
S 4.8540 -9.6193 1.0524
S 1.7471 -17.1747 1.4668
```

---

Density functional theory data (GGA-PBE) for crystalline CdH16C10S4N6 at its relaxed geometry.

Values from the calculation:
crystal system	monoclinic
symmetry	C2/c (15)
DFT total energy	-5.880	eV/atom

```
74
Lattice="-5.0848 6.0312 -4.4529 -8.9462 0.7650 1.1998 8.6301 4.7631 10.3328" Properties=species:S:1:pos:R:3 pbc="T T T"
C -3.4744 2.2976 -1.0004
C -7.2895 2.2623 0.1137
C -8.9209 5.3938 -0.6256
C -10.7838 6.8103 -1.4651
C -9.2889 6.7528 -1.1925
C 0.2392 3.3334 2.1306
C 1.3274 2.7212 2.9987
C -1.0544 3.4301 2.9187
C -4.1736 4.5326 4.3573
C -5.7923 7.4927 2.2561
C 0.3915 4.0665 4.8236
C -1.2272 7.0267 2.7224
C -4.3465 8.1291 4.1610
C -6.7282 8.8380 4.0810
C -5.6400 8.2259 4.9491
C 3.8881 4.8064 8.2722
C 5.3830 4.7490 8.5448
C 3.5201 6.1655 7.7053
C 1.8886 9.2970 6.9659
C -1.9265 9.2616 8.0801
Cd -4.9251 4.4973 1.0550
Cd -0.4757 7.0620 6.0247
H -4.8501 3.4241 -1.9452
H -2.0922 1.0058 -0.2770
H -8.7350 6.9411 -2.1249
H -7.8367 5.2434 -0.6353
H -5.9770 1.7001 2.4672
H -11.3552 6.7448 -0.5238
H -9.2657 5.3040 0.4167
H 0.0784 2.7124 1.2418
H -9.0108 7.5338 -0.4754
H -1.5064 2.4333 3.0427
H 1.0837 1.6752 3.2504
H -6.6452 3.5140 3.7006
H -1.7815 4.0675 2.4055
H 0.5550 4.3314 1.7899
H -7.7496 8.0002 2.3746
H -3.7995 7.2079 2.2976
H -1.6013 4.3514 4.7821
H 2.3488 3.5591 4.7050
H -5.9558 7.2279 5.2898
H -3.6193 7.4917 4.6741
H 1.2444 8.0453 3.3791
H -6.4846 9.8841 3.8292
H -3.8944 9.1260 4.0370
H 3.6100 4.0254 7.5551
H -5.4793 8.8468 5.8379
H 3.8648 6.2553 6.6629
H 5.9544 4.8145 7.6034
H 0.5762 9.8592 4.6125
H 2.4359 6.3158 7.7149
H 3.3342 4.6182 9.2046
H -3.3086 10.5535 7.3567
H -0.5507 8.1352 9.0249
N -11.1532 5.6935 -2.3327
N -9.5265 4.3310 -1.4255
N -6.5574 3.0267 0.6558
N -4.5136 4.3031 3.2411
N -0.8022 4.0109 4.2359
N 1.4479 3.4987 4.2305
N -6.8487 8.0606 2.8492
N -4.5986 7.5484 2.8437
N -0.8873 7.2562 3.8386
N 1.1565 8.5326 6.4239
N 4.1257 7.2282 8.5052
N 5.7523 5.8658 9.4124
S -5.7236 5.5781 -2.6614
S -2.8538 3.6050 -0.0542
S -6.0058 6.7406 0.7139
S -1.6817 6.7509 1.1922
S -3.7191 4.8084 5.8875
S 0.6050 4.8186 6.3658
S -2.5471 7.9543 7.1339
S 0.3227 5.9811 9.7411
```

---

Density functional theory data (GGA-PBE) for crystalline CdH8C9O8 at its relaxed geometry.

Values from the calculation:
crystal system	monoclinic
symmetry	C2/c (15)
DFT total energy	-6.478	eV/atom

```
104
Lattice="9.4897 -4.5320 0.0000 9.4897 4.5320 0.0000 -5.0573 0.0000 11.2325" Properties=species:S:1:pos:R:3 pbc="T T T"
C 12.6062 0.1964 0.4359
C 7.5197 -0.5115 0.4566
C 7.8892 -1.8389 0.6880
C 8.2752 0.5309 1.0076
C 9.0385 -2.1050 1.4326
C 9.5005 -3.4700 1.7366
C 9.3965 0.2535 1.7857
C 9.7828 -1.0672 1.9818
C 10.1906 1.3349 2.4207
C 6.2601 1.3349 3.1956
C 6.6679 -1.0672 3.6345
C 7.0542 0.2535 3.8305
C 6.9502 -3.4700 3.8797
C 7.4122 -2.1050 4.1836
C 8.1755 0.5309 4.6086
C 8.5615 -1.8389 4.9282
C 8.9310 -0.5115 5.1596
C 3.8445 0.1964 5.1804
C 10.0776 -0.1964 6.0521
C 4.9910 0.5115 6.0728
C 5.3606 1.8389 6.3042
C 5.7466 -0.5309 6.6239
C 6.5099 2.1050 7.0488
C 6.9719 3.4700 7.3528
C 6.8679 -0.2535 7.4019
C 7.2542 1.0672 7.5980
C 7.6619 -1.3349 8.0369
C 3.7315 -1.3349 8.8118
C 4.1392 1.0672 9.2507
C 4.5256 -0.2535 9.4468
C 4.4216 3.4700 9.4959
C 4.8836 2.1050 9.7998
C 5.6469 -0.5309 10.2248
C 6.0329 1.8389 10.5445
C 6.4024 0.5115 10.7758
C 1.3159 -0.1964 10.7966
Cd 14.4956 -0.9003 2.1673
Cd 1.9551 -0.9003 3.4490
Cd 11.9670 0.9003 7.7835
Cd -0.5736 0.9003 9.0652
H 12.6435 -2.5437 0.1332
H 7.2975 -2.6536 0.2775
H 3.1658 0.4014 0.3450
H 7.9819 1.5633 0.8327
H 3.8114 -1.7304 1.2908
H 9.0624 3.7246 1.5541
H 4.3282 -0.3155 1.9219
H 10.6690 -1.3107 2.5596
H 5.7817 -1.3107 3.0566
H 12.1225 -0.3155 3.6943
H 7.3883 3.7246 4.0621
H 12.6393 -1.7304 4.3255
H 8.4689 1.5633 4.7835
H 13.2849 0.4014 5.2712
H 9.1532 -2.6536 5.3387
H 3.8072 -2.5437 5.4830
H 10.1149 2.5437 5.7495
H 4.7689 2.6536 5.8937
H 0.6372 -0.4014 5.9612
H 5.4532 -1.5633 6.4489
H 1.2827 1.7304 6.9070
H 6.5338 -3.7246 7.1704
H 1.7995 0.3155 7.5382
H 8.1404 1.3107 8.1759
H 3.2531 1.3107 8.6728
H 9.5939 0.3155 9.3106
H 4.8597 -3.7246 9.6783
H 10.1107 1.7304 9.9417
H 5.9402 -1.5633 10.3998
H 10.7563 -0.4014 10.8875
H 6.6246 2.6536 10.9550
H 1.2786 2.5437 11.0993
O 15.8904 -1.1150 0.3375
O 13.4096 1.0893 0.8275
O 12.7086 -1.0289 0.8301
O 8.7128 -4.4227 1.2886
O 3.5311 -0.8302 1.6158
O 9.8643 2.5514 2.1752
O 1.0548 0.8996 2.3949
O 5.2885 1.0636 2.4287
O 11.1622 1.0636 3.1875
O 15.3959 0.8996 3.2213
O 6.5864 2.5514 3.4410
O 12.9196 -0.8302 4.0005
O 7.7379 -4.4227 4.3276
O 3.7421 -1.0289 4.7861
O 3.0411 1.0893 4.7887
O 0.5603 -1.1150 5.2787
O 13.3618 1.1150 5.9538
O 10.8810 -1.0892 6.4437
O 10.1800 1.0289 6.4463
O 6.1842 4.4227 6.9048
O 1.0024 0.8302 7.2320
O 7.3357 -2.5514 7.7915
O -1.4738 -0.8996 8.0111
O 2.7599 -1.0636 8.0450
O 8.6336 -1.0636 8.8038
O 12.8673 -0.8996 8.8376
O 4.0578 -2.5514 9.0572
O 10.3910 0.8302 9.6167
O 5.2093 4.4227 9.9439
O 1.2135 1.0289 10.4024
O 0.5124 -1.0893 10.4050
O -1.9683 1.1150 10.8949
```